[1]
Material: Ca3HfMg
Method: DFT, PBE
State: relaxed

Its crystal system is cubic. For the density of states at the Fermi level, the calculation gives 1.967 states/eV/atom. The value obtained for the energy relative to the lowest polymorph listed for this composition is 13 meV per atom. The value obtained for the formation enthalpy at 0 K is 0.96 eV per atom. The magnetic moment is 0.276 μB/atom. The volume is 40.148 Å³ per atom.

The structure belongs to space group Pm-3m (No. 221); the cell edges are 5.8552, 5.8552 and 5.8552 Å and the angles 90.00°, 90.00° and 90.00°. The distinct sites, in fractional coordinates, are Ca at (0.0000, 0.0000, 0.5000), Hf at (0.0000, 0.0000, 0.0000) and Mg at (0.5000, 0.5000, 0.5000).

---

[2]
Material: ZrNbPd
Method: DFT, PBE
State: relaxed

Its crystal system is tetragonal. For the density of states at the Fermi level, the calculation gives 0.920 states/eV/atom. The value obtained for the energy relative to the lowest polymorph listed for this composition is 139 meV per atom. The value obtained for the formation enthalpy at 0 K is -0.28 eV per atom. The magnetic moment is 0.000 μB/atom. The volume is 18.568 Å³ per atom.

The structure belongs to space group I4mm (No. 107); the cell edges are 2.9713, 2.9713 and 12.6195 Å and the angles 90.00°, 90.00° and 90.00°. The distinct sites, in fractional coordinates, are Zr at (0.0000, 0.0000, 0.0000), Nb at (0.0000, 0.0000, 0.6795) and Pd at (0.0000, 0.0000, 0.3327).

---

[3]
Material: CeY5Al4
Method: DFT, PBE
State: relaxed

Its crystal system is tetragonal. For the density of states at the Fermi level, the calculation gives 0.747 states/eV/atom. The value obtained for the formation enthalpy at 0 K is -0.31 eV per atom. The magnetic moment is 0.072 μB/atom. The volume is 24.981 Å³ per atom.

The structure belongs to space group P4/mmm (No. 123); the cell edges are 3.4542, 3.4542 and 20.9368 Å and the angles 90.00°, 90.00° and 90.00°. The distinct sites, in fractional coordinates, are Ce at (0.0000, 0.0000, 0.0000), Y at (0.5000, 0.5000, 0.1235), Y at (0.5000, 0.5000, 0.3115), Y at (0.5000, 0.5000, 0.5000), Al at (0.0000, 0.0000, 0.2161) and Al at (0.0000, 0.0000, 0.4054).

---

[4]
Material: RbZnAsSe2
Method: DFT, PBE
State: relaxed

Its crystal system is tetragonal. For the density of states at the Fermi level, the calculation gives 1.661 states/eV/atom. The value obtained for the energy relative to the lowest polymorph listed for this composition is 1193 meV per atom. The magnetic moment is 1.200 μB/atom. The formation energy without anion corrections comes out at 1.144 eV per atom. The volume is 68.376 Å³ per atom.

The structure belongs to space group P4/mmm (No. 123); the cell edges are 6.7924, 6.7924 and 7.4102 Å and the angles 90.00°, 90.00° and 90.00°. The distinct sites, in fractional coordinates, are Rb at (0.0000, 0.0000, 0.0000), Zn at (0.5000, 0.5000, 0.5000), As at (0.0000, 0.0000, 0.5000) and Se at (0.0000, 0.5000, 0.0000).

---

[5]
Material: La3Ga4Rh4
Method: DFT, PBE
State: relaxed

Its crystal system is triclinic. For the density of states at the Fermi level, the calculation gives 0.776 states/eV/atom. The value obtained for the formation enthalpy at 0 K is -0.79 eV per atom. The magnetic moment is 0.000 μB/atom. The volume is 21.176 Å³ per atom.

The structure belongs to space group P-1 (No. 2); the cell edges are 4.2276, 4.4466 and 12.6565 Å and the angles 96.81°, 99.51° and 90.05°. The distinct sites, in fractional coordinates, are La at (0.0000, 0.0000, 0.0000), La at (0.1521, 0.6841, 0.3028), Ga at (0.3005, 0.7841, 0.6018), Ga at (0.4476, 0.4623, 0.8959), Rh at (0.2514, 0.2509, 0.5031) and Rh at (0.4021, 0.9311, 0.8044).

---

[6]
Material: BaTlTc
Method: DFT, PBE
State: relaxed

Its crystal system is trigonal. For the density of states at the Fermi level, the calculation gives 1.296 states/eV/atom. The value obtained for the energy relative to the lowest polymorph listed for this composition is 262 meV per atom. The value obtained for the formation enthalpy at 0 K is 0.85 eV per atom. The magnetic moment is 0.144 μB/atom. The volume is 28.320 Å³ per atom.

The structure belongs to space group P3m1 (No. 156); the cell edges are 3.6852, 3.6852 and 7.2237 Å and the angles 90.00°, 90.00° and 120.00°. The distinct sites, in fractional coordinates, are Ba at (0.0000, 0.0000, 0.0000), Tl at (0.3333, 0.6667, 0.5815) and Tc at (0.6667, 0.3333, 0.3238).